An optimized crystal structure of ZrCuCl2, computed with PBE-GGA.

Its theoretical density is 3311 kg/m³. The calculation puts the uncorrected formation energy at -71 kJ per mole of atoms. The total DFT energy (no corrections) comes out at -4.82 eV per atom. The calculation puts the polymorph energy (0 for the lowest one) at 99 meV/atom.

```
data_ZrCuCl2
_chemical_formula_sum 'Zr2 Cu2 Cl4'
_cell_length_a 10.882
_cell_length_b 3.194
_cell_length_c 7.231
_cell_angle_alpha 90.00
_cell_angle_beta 115.76
_cell_angle_gamma 90.00
_space_group_name_H-M_alt 'C 1 m 1'
_space_group_IT_number 8
loop_
_space_group_symop_operation_xyz
'x,y,z'
'x,-y,z'
'x+1/2,y+1/2,z'
'x+1/2,-y+1/2,z'
loop_
_atom_site_label
_atom_site_type_symbol
_atom_site_fract_x
_atom_site_fract_y
_atom_site_fract_z
_atom_site_occupancy
Zr1 Zr 0.000 0.000 0.000 1
Cu1 Cu 0.288 0.000 0.960 1
Cl1 Cl 0.014 0.500 0.734 1
Cl2 Cl 0.145 0.500 0.285 1
```